# PBE-GGA Zn2CdPb2, optimized geometry
data_Zn2CdPb2
_chemical_formula_sum 'Zn4 Cd2 Pb4'
_cell_length_a 7.1668
_cell_length_b 7.1668
_cell_length_c 4.6939
_cell_angle_alpha 90.00
_cell_angle_beta 90.00
_cell_angle_gamma 90.00
_symmetry_space_group_name_H-M 'P 1'
_symmetry_Int_Tables_number 1
loop_
_symmetry_equiv_pos_as_xyz
'x,y,z'
loop_
_atom_site_label
_atom_site_fract_x
_atom_site_fract_y
_atom_site_fract_z
Pb1 0.1754 0.6754 0.5000
Pb2 0.6754 0.8246 0.5000
Pb3 0.8246 0.3246 0.5000
Pb4 0.3246 0.1754 0.5000
Zn1 0.3725 0.8725 0.0000
Zn2 0.8725 0.6275 0.0000
Zn3 0.6275 0.1275 0.0000
Zn4 0.1275 0.3725 0.0000
Cd1 0.0000 0.0000 0.0000
Cd2 0.5000 0.5000 0.0000
# space-group type = P4/mbm, No. 127



# PBE-GGA ZnCd2Pb, optimized geometry
data_ZnCd2Pb
_chemical_formula_sum 'Zn2 Cd4 Pb2'
_cell_length_a 4.3201
_cell_length_b 4.3201
_cell_length_c 11.1157
_cell_angle_alpha 78.79
_cell_angle_beta 78.79
_cell_angle_gamma 90.00
_symmetry_space_group_name_H-M 'P 1'
_symmetry_Int_Tables_number 1
loop_
_symmetry_equiv_pos_as_xyz
'x,y,z'
loop_
_atom_site_label
_atom_site_fract_x
_atom_site_fract_y
_atom_site_fract_z
Pb1 0.0000 0.0000 0.0000
Pb2 0.7500 0.2500 0.5000
Zn1 0.5000 0.5000 0.0000
Zn2 0.2500 0.7500 0.5000
Cd1 0.6068 0.1250 0.2500
Cd2 0.1432 0.6250 0.2500
Cd3 0.3750 0.3932 0.7500
Cd4 0.8750 0.8568 0.7500
# space-group type = I-42d, No. 122



# PBE-GGA ZnCd2Pb, optimized geometry
data_ZnCd2Pb
_chemical_formula_sum 'Zn1 Cd2 Pb1'
_cell_length_a 10.0815
_cell_length_b 10.0815
_cell_length_c 10.0815
_cell_angle_alpha 19.13
_cell_angle_beta 19.13
_cell_angle_gamma 19.13
_symmetry_space_group_name_H-M 'P 1'
_symmetry_Int_Tables_number 1
loop_
_symmetry_equiv_pos_as_xyz
'x,y,z'
loop_
_atom_site_label
_atom_site_fract_x
_atom_site_fract_y
_atom_site_fract_z
Pb1 0.2500 0.2500 0.2500
Zn1 0.7500 0.7500 0.7500
Cd1 0.0135 0.0135 0.0135
Cd2 0.4865 0.4865 0.4865
# space-group type = R-3m, No. 166



# PBE-GGA ZnCd4Pb, optimized geometry
data_ZnCd4Pb
_chemical_formula_sum 'Zn2 Cd8 Pb2'
_cell_length_a 6.1382
_cell_length_b 7.3620
_cell_length_c 8.0179
_cell_angle_alpha 117.33
_cell_angle_beta 113.74
_cell_angle_gamma 90.00
_symmetry_space_group_name_H-M 'P 1'
_symmetry_Int_Tables_number 1
loop_
_symmetry_equiv_pos_as_xyz
'x,y,z'
loop_
_atom_site_label
_atom_site_fract_x
_atom_site_fract_y
_atom_site_fract_z
Zn1 0.6679 0.4637 0.9274
Zn2 0.3321 0.5363 0.0726
Cd1 0.9024 0.3239 0.6478
Cd2 0.6879 0.3179 0.2324
Cd3 0.0000 0.2027 0.0000
Cd4 0.3121 0.0855 0.7676
Cd5 0.0976 0.6761 0.3522
Cd6 0.3121 0.6821 0.7676
Cd7 0.0000 0.7973 0.0000
Cd8 0.6879 0.9145 0.2324
Pb1 0.3144 0.2235 0.4470
Pb2 0.6856 0.7765 0.5530
# space-group type = C2/m, No. 12



# PBE-GGA ZnCd2Pb, optimized geometry
data_ZnCd2Pb
_chemical_formula_sum 'Zn1 Cd2 Pb1'
_cell_length_a 3.1390
_cell_length_b 3.8709
_cell_length_c 7.8344
_cell_angle_alpha 90.00
_cell_angle_beta 90.00
_cell_angle_gamma 90.00
_symmetry_space_group_name_H-M 'P 1'
_symmetry_Int_Tables_number 1
loop_
_symmetry_equiv_pos_as_xyz
'x,y,z'
loop_
_atom_site_label
_atom_site_fract_x
_atom_site_fract_y
_atom_site_fract_z
Cd1 0.0000 0.0000 0.9776
Cd2 0.5000 0.5000 0.2225
Pb1 0.0000 0.0000 0.5224
Zn1 0.5000 0.5000 0.7775
# space-group type = Pmm2, No. 25



# PBE-GGA ZnCd2Pb2, optimized geometry
data_ZnCd2Pb2
_chemical_formula_sum 'Zn1 Cd2 Pb2'
_cell_length_a 7.9213
_cell_length_b 7.9213
_cell_length_c 7.9213
_cell_angle_alpha 146.76
_cell_angle_beta 146.76
_cell_angle_gamma 47.72
_symmetry_space_group_name_H-M 'P 1'
_symmetry_Int_Tables_number 1
loop_
_symmetry_equiv_pos_as_xyz
'x,y,z'
loop_
_atom_site_label
_atom_site_fract_x
_atom_site_fract_y
_atom_site_fract_z
Zn1 0.0000 0.0000 0.0000
Cd1 0.5947 0.5947 0.0000
Cd2 0.4053 0.4053 0.0000
Pb1 0.2500 0.7500 0.5000
Pb2 0.7500 0.2500 0.5000
# space-group type = I4/mmm, No. 139



| no. | theoretical density (Mg/m³) | energy relative to the elements (eV/f.u.) | spin magnetization (μB per cell) |
| --- | --- | --- | --- |
| 1 | 9.06 | 0.5 | 0.0 |
| 2 | 8.28 | 0.6 | 0.0 |
| 3 | 8.59 | 0.3 | 0.0 |
| 4 | 8.36 | 0.5 | 0.0 |
| 5 | 8.68 | 0.4 | 0.0 |
| 6 | 7.87 | 1.4 | 0.0 |